Here is a relaxed Ce2AsPt3 crystal from Alexandria. Energies are from PBE.

Output
- V (Å³ per cell) = 253.8
- DFT formation energy (eV per atom) = -1.08
- uncorrected energy (eV per atom) = -6.85

Unit cell a=9.016 b=8.678 c=5.728 alpha=74.34 beta=67.94 gamma=37.71
Fractional coordinates of all 12 atoms:
Ce (0.239, 0.761, 0.761)
Ce (0.250, 0.250, 0.250)
Ce (0.750, 0.750, 0.750)
Ce (0.761, 0.239, 0.239)
As (0.337, 0.337, 0.663)
As (0.663, 0.663, 0.337)
Pt (0.170, 0.661, 0.339)
Pt (0.178, 0.178, 0.822)
Pt (0.339, 0.830, 0.170)
Pt (0.661, 0.170, 0.830)
Pt (0.822, 0.822, 0.178)
Pt (0.830, 0.339, 0.661)

---

Here is a relaxed TbCeHgIr crystal from Alexandria. Energies are from PBE.

Output
- V (Å³ per cell) = 94.7
- ΔE to the lowest computed polymorph (eV/f.u.) = 0.37
- DFT formation energy (eV per atom) = -0.49
- uncorrected energy (eV per atom) = -5.43

Unit cell a=5.116 b=5.116 c=5.116 alpha=60.00 beta=60.00 gamma=60.00
Fractional coordinates of all 4 atoms:
Tb (0.000, 0.000, 0.000)
Ce (0.500, 0.500, 0.500)
Hg (0.750, 0.750, 0.750)
Ir (0.250, 0.250, 0.250)

---

Here is a relaxed NaCuPbO2 crystal from Alexandria. Energies are from PBE.

Output
- V (Å³ per cell) = 177.8
- formation energy (no corrections) (eV per atom) = -0.904
- uncorrected energy (eV per atom) = -4.71

Unit cell a=5.656 b=4.815 c=6.636 alpha=90.00 beta=100.35 gamma=90.00
Fractional coordinates of all 10 atoms:
Na (0.000, 0.014, 0.250)
Na (0.000, 0.986, 0.750)
Cu (0.000, 0.500, 0.000)
Cu (0.000, 0.500, 0.500)
Pb (0.500, 0.392, 0.750)
Pb (0.500, 0.608, 0.250)
O (0.258, 0.271, 0.050)
O (0.258, 0.729, 0.550)
O (0.742, 0.271, 0.450)
O (0.742, 0.729, 0.950)